1.
Material: ThCdHgGe
Method: DFT, PBE
State: optimized geometry

The space group is F-43m (No. 216) and the conventional cell measures 7.274, 7.274 and 7.274 Å, with angles of 90.00, 90.00 and 90.00 degrees. The inequivalent atoms are Th at (0.000, 0.000, 0.000), Cd at (0.000, 0.000, 0.500), Hg at (0.250, 0.250, 0.250) and Ge at (0.250, 0.250, 0.750).

2.
Material: TmCdHgGe
Method: DFT, PBE
State: optimized geometry

The space group is F-43m (No. 216) and the conventional cell measures 7.108, 7.108 and 7.108 Å, with angles of 90.00, 90.00 and 90.00 degrees. The inequivalent atoms are Tm at (0.000, 0.000, 0.000), Cd at (0.000, 0.000, 0.500), Hg at (0.250, 0.250, 0.750) and Ge at (0.250, 0.250, 0.250).

3.
Material: YCd2HgGe
Method: DFT, PBE
State: optimized geometry

The space group is P4/mmm (No. 123) and the conventional cell measures 5.798, 5.798 and 5.652 Å, with angles of 90.00, 90.00 and 90.00 degrees. The inequivalent atoms are Y at (0.000, 0.000, 0.000), Cd at (0.000, 0.500, 0.000), Hg at (0.000, 0.000, 0.500) and Ge at (0.500, 0.500, 0.500).

4.
Material: HoCdGe
Method: DFT, PBE
State: optimized geometry

The space group is C2/m (No. 12) and the conventional cell measures 10.681, 4.284 and 7.157 Å, with angles of 90.00, 125.05 and 90.00 degrees. The inequivalent atoms are Ho at (0.068, 0.000, 0.327), Cd at (0.160, 0.500, 0.075) and Ge at (0.151, 0.500, 0.671).

5.
Material: Ho2CdGe
Method: DFT, PBE
State: optimized geometry

The space group is P4/mmm (No. 123) and the conventional cell measures 3.699, 3.699 and 7.024 Å, with angles of 90.00, 90.00 and 90.00 degrees. The inequivalent atoms are Ho at (0.000, 0.000, 0.234), Cd at (0.500, 0.500, 0.500) and Ge at (0.500, 0.500, 0.000).

6.
Material: HoCdGe
Method: DFT, PBE
State: optimized geometry

The space group is F-43m (No. 216) and the conventional cell measures 6.635, 6.635 and 6.635 Å, with angles of 90.00, 90.00 and 90.00 degrees. The inequivalent atoms are Ho at (0.000, 0.000, 0.000), Cd at (0.000, 0.000, 0.500) and Ge at (0.250, 0.250, 0.250).

7.
Material: HoCdGe
Method: DFT, PBE
State: optimized geometry

The space group is P3m1 (No. 156) and the conventional cell measures 4.4588, 4.4588 and 3.9980 Å, with angles of 90.00, 90.00 and 120.00 degrees. The inequivalent atoms are Ho at (0.0000, 0.0000, 0.0000), Cd at (0.6667, 0.3333, 0.4459) and Ge at (0.3333, 0.6667, 0.6257).

8.
Material: Ho2CdGe
Method: DFT, PBE
State: optimized geometry

The space group is R-3m (No. 166, hexagonal axes) and the conventional cell measures 3.8635, 3.8635 and 25.0081 Å, with angles of 90.00, 90.00 and 120.00 degrees. The inequivalent atoms are Ho at (0.0000, 0.0000, 0.2385), Cd at (0.0000, 0.0000, 0.0000) and Ge at (0.0000, 0.0000, 0.5000).

Number 1: DFT total energy -3.529 eV/atom, formation energy from the elements -0.22 eV/atom. Number 2: DFT total energy -2.806 eV/atom, formation energy from the elements -0.23 eV/atom. Number 3: DFT total energy -1.776 eV/atom, formation energy from the elements 0.87 eV/atom. Number 4: DFT total energy -3.885 eV/atom, formation energy from the elements -0.52 eV/atom. Number 5: DFT total energy -4.157 eV/atom, formation energy from the elements -0.49 eV/atom. Number 6: DFT total energy -3.728 eV/atom, formation energy from the elements -0.36 eV/atom. Number 7: DFT total energy -3.782 eV/atom, formation energy from the elements -0.41 eV/atom. Number 8: DFT total energy -4.056 eV/atom, formation energy from the elements -0.38 eV/atom.